The following is a PBE calculation of crystalline La2Sm5Er12 at its relaxed geometry, from the Alexandria database.

Properties
- Polymorph energy (0 for the lowest one): 65 meV per atom
- Space-group type: C2/m, No. 12
- ΔH_f (0 K): 0.1357 eV/atom

Lattice parameters (Å, degrees): 9.1174 9.1174 8.5832 91.51 91.51 61.20
Atoms (fractional coordinates):
La: 0.1839 0.8161 0.0000
La: 0.8161 0.1839 0.0000
Sm: 0.2009 0.2009 0.0110
Sm: 0.2688 0.2688 0.4253
Sm: 0.5000 0.5000 0.5000
Sm: 0.7312 0.7312 0.5747
Sm: 0.7991 0.7991 0.9890
Er: 0.0578 0.0578 0.3306
Er: 0.0621 0.6838 0.3464
Er: 0.1677 0.5249 0.7552
Er: 0.3162 0.9379 0.6536
Er: 0.4123 0.4123 0.1195
Er: 0.4751 0.8323 0.2448
Er: 0.5249 0.1677 0.7552
Er: 0.5877 0.5877 0.8805
Er: 0.6838 0.0621 0.3464
Er: 0.8323 0.4751 0.2448
Er: 0.9379 0.3162 0.6536
Er: 0.9422 0.9422 0.6694

---

The following is a PBE calculation of crystalline La3SmEr2 at its relaxed geometry, from the Alexandria database.

Properties
- Polymorph energy (0 for the lowest one): 173 meV per atom
- Space-group type: Immm, No. 71
- ΔH_f (0 K): 0.3073 eV/atom

Lattice parameters (Å, degrees): 10.4888 10.4888 10.4888 160.81 146.70 38.72
Atoms (fractional coordinates):
La: 0.0000 0.0000 0.0000
La: 0.3116 0.8116 0.5000
La: 0.6884 0.1884 0.5000
Sm: 0.5000 0.0000 0.5000
Er: 0.1374 0.6374 0.5000
Er: 0.8626 0.3626 0.5000

---

The following is a PBE calculation of crystalline LaSm2Er at its relaxed geometry, from the Alexandria database.

Properties
- Polymorph energy (0 for the lowest one): 0 meV per atom
- Space-group type: P4/mmm, No. 123
- ΔH_f (0 K): 0.0229 eV/atom

Lattice parameters (Å, degrees): 5.1118 5.1118 5.1663 90.00 90.00 90.00
Atoms (fractional coordinates):
La: 0.0000 0.0000 0.0000
Sm: 0.0000 0.5000 0.5000
Sm: 0.5000 0.0000 0.5000
Er: 0.5000 0.5000 0.0000

---

The following is a PBE calculation of crystalline La7SmEr3 at its relaxed geometry, from the Alexandria database.

Properties
- Polymorph energy (0 for the lowest one): 0 meV per atom
- Space-group type: P-1, No. 2
- ΔH_f (0 K): 0.1296 eV/atom

Lattice parameters (Å, degrees): 6.6347 6.7837 8.9106 99.82 98.82 95.49
Atoms (fractional coordinates):
La: 0.0000 0.0000 0.0000
La: 0.0482 0.7095 0.6445
La: 0.2091 0.2237 0.7073
La: 0.4817 0.7350 0.9114
La: 0.5183 0.2650 0.0886
La: 0.7909 0.7763 0.2927
La: 0.9518 0.2905 0.3555
Sm: 0.0000 0.5000 0.0000
Er: 0.3188 0.9251 0.3348
Er: 0.5000 0.5000 0.5000
Er: 0.6812 0.0749 0.6652

---

The following is a PBE calculation of crystalline LaSm2Er5 at its relaxed geometry, from the Alexandria database.

Properties
- Polymorph energy (0 for the lowest one): 0 meV per atom
- Space-group type: Pbam, No. 55
- ΔH_f (0 K): 0.0250 eV/atom

Lattice parameters (Å, degrees): 7.1344 14.2866 5.0466 90.00 90.00 90.00
Atoms (fractional coordinates):
La: 0.0000 0.0000 0.0000
La: 0.5000 0.5000 0.0000
Sm: 0.2460 0.3733 0.5000
Sm: 0.2540 0.8733 0.5000
Sm: 0.7460 0.1267 0.5000
Sm: 0.7540 0.6267 0.5000
Er: 0.0000 0.5000 0.0000
Er: 0.0038 0.7478 0.0000
Er: 0.2480 0.1263 0.5000
Er: 0.2520 0.6263 0.5000
Er: 0.4962 0.2478 0.0000
Er: 0.5000 0.0000 0.0000
Er: 0.5038 0.7522 0.0000
Er: 0.7480 0.3737 0.5000
Er: 0.7520 0.8737 0.5000
Er: 0.9962 0.2522 0.0000

---

The following is a PBE calculation of crystalline La5Sm2Er at its relaxed geometry, from the Alexandria database.

Properties
- Space-group type: Cmcm, No. 63
- ΔH_f (0 K): 0.1087 eV/atom

Lattice parameters (Å, degrees): 6.7277 6.7277 16.6142 90.00 90.00 129.67
Atoms (fractional coordinates):
La: 0.0338 0.9662 0.7500
La: 0.1132 0.8868 0.0532
La: 0.1132 0.8868 0.4468
La: 0.4217 0.5783 0.0931
La: 0.4217 0.5783 0.4069
La: 0.5783 0.4217 0.5931
La: 0.5783 0.4217 0.9069
La: 0.8868 0.1132 0.5532
La: 0.8868 0.1132 0.9468
La: 0.9662 0.0338 0.2500
Sm: 0.2757 0.7243 0.6347
Sm: 0.2757 0.7243 0.8653
Sm: 0.7243 0.2757 0.1347
Sm: 0.7243 0.2757 0.3653
Er: 0.2479 0.7521 0.2500
Er: 0.7521 0.2479 0.7500

---

The following is a PBE calculation of crystalline La11Sm9Er4 at its relaxed geometry, from the Alexandria database.

Properties
- Space-group type: Cmmm, No. 65
- ΔH_f (0 K): 0.0646 eV/atom

Lattice parameters (Å, degrees): 15.7545 15.7545 3.7097 90.00 90.00 113.19
Atoms (fractional coordinates):
La: 0.0000 0.0000 0.0000
La: 0.0423 0.4034 0.0000
La: 0.1612 0.8388 0.0000
La: 0.2929 0.2929 0.0000
La: 0.3694 0.6306 0.0000
La: 0.4034 0.0423 0.0000
La: 0.5966 0.9577 0.0000
La: 0.6306 0.3694 0.0000
La: 0.7071 0.7071 0.0000
La: 0.8388 0.1612 0.0000
La: 0.9577 0.5966 0.0000
Sm: 0.0680 0.2142 0.5000
Sm: 0.1662 0.6294 0.5000
Sm: 0.2142 0.0680 0.5000
Sm: 0.3706 0.8338 0.5000
Sm: 0.5000 0.5000 0.5000
Sm: 0.6294 0.1662 0.5000
Sm: 0.7858 0.9320 0.5000
Sm: 0.8338 0.3706 0.5000
Sm: 0.9320 0.7858 0.5000
Er: 0.2399 0.4440 0.5000
Er: 0.4440 0.2399 0.5000
Er: 0.5560 0.7601 0.5000
Er: 0.7601 0.5560 0.5000

---

The following is a PBE calculation of crystalline LaSmEr at its relaxed geometry, from the Alexandria database.

Properties
- Polymorph energy (0 for the lowest one): 9 meV per atom
- Space-group type: I4mm, No. 107
- ΔH_f (0 K): 0.0308 eV/atom

Lattice parameters (Å, degrees): 8.0730 8.0730 8.0730 153.90 153.90 37.24
Atoms (fractional coordinates):
La: 0.0000 0.0000 0.0000
Sm: 0.6717 0.6717 0.0000
Er: 0.3328 0.3328 0.0000

---

The following is a PBE calculation of crystalline La7Sm3Er2 at its relaxed geometry, from the Alexandria database.

Properties
- Polymorph energy (0 for the lowest one): 22 meV per atom
- Space-group type: P2/m, No. 10
- ΔH_f (0 K): 0.0904 eV/atom

Lattice parameters (Å, degrees): 5.9872 3.6330 19.4672 90.00 93.89 90.00
Atoms (fractional coordinates):
La: 0.0000 0.0000 0.0000
La: 0.1771 0.5000 0.1851
La: 0.2568 0.5000 0.5328
La: 0.3256 0.0000 0.8530
La: 0.6744 0.0000 0.1470
La: 0.7432 0.5000 0.4672
La: 0.8230 0.5000 0.8149
Sm: 0.2197 0.0000 0.3642
Sm: 0.5000 0.5000 0.0000
Sm: 0.7803 0.0000 0.6358
Er: 0.2913 0.5000 0.7017
Er: 0.7087 0.5000 0.2983

---

The following is a PBE calculation of crystalline La2Sm3Er8 at its relaxed geometry, from the Alexandria database.

Properties
- Space-group type: C2/m, No. 12
- ΔH_f (0 K): 0.2539 eV/atom

Lattice parameters (Å, degrees): 11.1898 11.1898 5.5173 90.04 90.04 40.05
Atoms (fractional coordinates):
La: 0.2403 0.2403 0.4982
La: 0.7597 0.7597 0.5018
Sm: 0.0000 0.0000 0.5000
Sm: 0.2936 0.7064 0.0000
Sm: 0.7064 0.2936 0.0000
Er: 0.1251 0.1251 0.9999
Er: 0.1811 0.6056 0.4994
Er: 0.3411 0.3411 0.9987
Er: 0.3944 0.8189 0.5006
Er: 0.6056 0.1811 0.4994
Er: 0.6589 0.6589 0.0013
Er: 0.8189 0.3944 0.5006
Er: 0.8749 0.8749 0.0001

---

The following is a PBE calculation of crystalline LaSm10Er4 at its relaxed geometry, from the Alexandria database.

Properties
- Space-group type: I4/m, No. 87
- ΔH_f (0 K): 0.4559 eV/atom

Lattice parameters (Å, degrees): 8.8282 8.8282 8.8282 111.77 111.77 104.97
Atoms (fractional coordinates):
La: 0.0000 0.0000 0.0000
Sm: 0.0517 0.9469 0.6577
Sm: 0.0531 0.7108 0.1048
Sm: 0.2500 0.7500 0.5000
Sm: 0.2892 0.3940 0.3423
Sm: 0.3940 0.0517 0.1048
Sm: 0.6060 0.9483 0.8952
Sm: 0.7108 0.6060 0.6577
Sm: 0.7500 0.2500 0.5000
Sm: 0.9469 0.2892 0.8952
Sm: 0.9483 0.0531 0.3423
Er: 0.2217 0.5561 0.7777
Er: 0.4439 0.2217 0.6656
Er: 0.5561 0.7783 0.3344
Er: 0.7783 0.4439 0.2223

---

The following is a PBE calculation of crystalline La3Sm2Er3 at its relaxed geometry, from the Alexandria database.

Properties
- Polymorph energy (0 for the lowest one): 0 meV per atom
- Space-group type: Immm, No. 71
- ΔH_f (0 K): 0.0297 eV/atom

Lattice parameters (Å, degrees): 10.9698 10.9698 10.9698 153.39 152.77 38.44
Atoms (fractional coordinates):
La: 0.0000 0.0000 0.0000
La: 0.3771 0.8771 0.5000
La: 0.6229 0.1229 0.5000
Sm: 0.2485 0.2485 0.0000
Sm: 0.7515 0.7515 0.0000
Er: 0.1266 0.6266 0.5000
Er: 0.5000 0.5000 0.0000
Er: 0.8734 0.3734 0.5000

---

Calculated spin magnetization, 0.00 0.00 0.00 0.00 0.00 0.00 0.00 0.00 0.00 0.00 0.00 0.00 μB per atom (same order as the records).